DFT (GGA+U) results for a relaxed structure of MoN2O2.

Cell: 3.8613 3.8613 4.1664 Å, 90.00 90.00 90.00°
Last column: nearest neighbours and their distance in Å.
Fractional positions:
Mo (0.0000, 0.0000, 0.0000)  4 O 1.93, 2 N 2.08
N (0.0000, 0.0000, 0.5000)  2 Mo 2.08
N (0.5000, 0.5000, 0.5000)  4 N 2.73, 8 O 2.84
O (0.0000, 0.5000, 0.0000)  2 Mo 1.93
O (0.5000, 0.0000, 0.0000)  2 Mo 1.93

calculated total energy	-30.2	eV per cell
N(E_F)	0.118	states/eV/atom
V	12.4	Å³ per atom